The following is a DFT calculation (GGA-PBE) of a relaxed structure of Sr3Al.

Unit cell a=7.623 b=7.623 c=7.623 alpha=148.77 beta=58.04 gamma=132.40
Positions (direct):
Sr (0.000, 0.000, 0.000)
Sr (0.305, 0.501, 0.804)
Sr (0.696, 0.501, 0.196)
Al (0.499, 0.999, 0.500)

Computed properties:
E_form, eV/f.u.: 0.02


The following is a DFT calculation (GGA-PBE) of a relaxed structure of GeH2Rh2.

Unit cell a=5.829 b=5.829 c=3.012 alpha=90.00 beta=90.00 gamma=90.00
Positions (direct):
Ge (0.000, 0.000, 0.000)
Ge (0.500, 0.500, 0.000)
H (0.084, 0.416, 0.000)
H (0.416, 0.916, 0.000)
H (0.584, 0.084, 0.000)
H (0.916, 0.584, 0.000)
Rh (0.181, 0.319, 0.500)
Rh (0.319, 0.819, 0.500)
Rh (0.681, 0.181, 0.500)
Rh (0.819, 0.681, 0.500)


The following is a DFT calculation (GGA-PBE) of a relaxed structure of Nb3Co5Ni.

Unit cell a=7.066 b=7.066 c=7.066 alpha=119.74 beta=119.74 gamma=90.46
Positions (direct):
Nb (0.128, 0.628, 0.756)
Nb (0.250, 0.250, 0.000)
Nb (0.372, 0.128, 0.500)
Nb (0.628, 0.872, 0.500)
Nb (0.750, 0.750, 0.000)
Nb (0.872, 0.372, 0.244)
Co (0.000, 0.000, 0.000)
Co (0.059, 0.164, 0.500)
Co (0.164, 0.664, 0.105)
Co (0.336, 0.441, 0.500)
Co (0.441, 0.941, 0.105)
Co (0.500, 0.500, 0.000)
Co (0.559, 0.059, 0.895)
Co (0.664, 0.559, 0.500)
Co (0.836, 0.336, 0.895)
Co (0.941, 0.836, 0.500)
Ni (0.250, 0.750, 0.500)
Ni (0.750, 0.250, 0.500)

Computed properties:
E_form, eV/f.u.: 3.17


Values for calculated density, g/cm³, ordered as above
2.860 9.102 8.381
Values for total DFT energy (no corrections), eV/atom, ordered as above
-2.19 -5.28 -7.59